No. 1
DFT (PBE) results for CsTbI3 after structural relaxation.

Cell lengths 9.145, 9.145, 9.145 Å; angles 116.07, 109.40, 103.20 degrees
Fractional coordinates of all 10 atoms:
1 Cs 0.225 0.000 0.225
2 Cs 0.775 0.000 0.775
3 Tb 0.142 0.642 0.500
4 Tb 0.858 0.358 0.500
5 I 0.230 0.018 0.788
6 I 0.230 0.443 0.212
7 I 0.244 0.500 0.744
8 I 0.756 0.500 0.256
9 I 0.770 0.557 0.788
10 I 0.770 0.982 0.212

Computed properties:
ρ   3.84 g/cm3
Uncorrected formation energy   -1.16 eV/atom
Distance to the lowest polymorph of the same formula   105 meV per atom
Total DFT energy (no corrections)   -31.83 eV per cell



No. 2
DFT (PBE) results for Y3Se3I after structural relaxation.

Cell lengths 9.360, 9.360, 9.360 Å; angles 51.39, 51.39, 51.39 degrees
Fractional coordinates of all 14 atoms:
1 Y 0.136 0.699 0.362
2 Y 0.301 0.638 0.864
3 Y 0.362 0.136 0.699
4 Y 0.638 0.864 0.301
5 Y 0.699 0.362 0.136
6 Y 0.864 0.301 0.638
7 Se 0.019 0.568 0.260
8 Se 0.260 0.019 0.568
9 Se 0.432 0.740 0.981
10 Se 0.568 0.260 0.019
11 Se 0.740 0.981 0.432
12 Se 0.981 0.432 0.740
13 I 0.148 0.148 0.148
14 I 0.852 0.852 0.852

Computed properties:
ρ   4.53 g/cm3
Uncorrected formation energy   -1.41 eV/atom
Total DFT energy (no corrections)   -82.47 eV per cell



No. 3
DFT (PBE) results for KTcSb2 after structural relaxation.

Cell lengths 3.304, 3.304, 8.814 Å; angles 90.00, 90.00, 90.00 degrees
Fractional coordinates of all 4 atoms:
1 K 0.000 0.000 0.000
2 Tc 0.000 0.000 0.500
3 Sb 0.500 0.500 0.315
4 Sb 0.500 0.500 0.685

Computed properties:
ρ   6.57 g/cm3
Uncorrected formation energy   -0.15 eV/atom
Distance to the lowest polymorph of the same formula   0 meV per atom
Total DFT energy (no corrections)   -20.29 eV per cell



No. 4
DFT (PBE) results for Be2MoIrN after structural relaxation.

Cell lengths 4.267, 4.267, 4.717 Å; angles 90.00, 90.00, 90.00 degrees
Fractional coordinates of all 5 atoms:
1 Be 0.000 0.500 0.000
2 Be 0.500 0.000 0.000
3 Mo 0.000 0.000 0.000
4 Ir 0.000 0.000 0.500
5 N 0.500 0.500 0.500

Computed properties:
ρ   6.19 g/cm3
Uncorrected formation energy   2.51 eV/atom
Total DFT energy (no corrections)   -22.91 eV per cell



No. 5
DFT (PBE) results for PrInCuPt3 after structural relaxation.

Cell lengths 7.219, 7.219, 6.121 Å; angles 90.00, 90.00, 132.57 degrees
Fractional coordinates of all 12 atoms:
1 Pr 0.181 0.819 0.750
2 Pr 0.819 0.181 0.250
3 In 0.136 0.864 0.250
4 In 0.864 0.136 0.750
5 Cu 0.392 0.608 0.750
6 Cu 0.608 0.392 0.250
7 Pt 0.251 0.251 0.000
8 Pt 0.251 0.251 0.500
9 Pt 0.340 0.660 0.250
10 Pt 0.660 0.340 0.750
11 Pt 0.749 0.749 0.000
12 Pt 0.749 0.749 0.500

Computed properties:
ρ   12.78 g/cm3
Energy of formation   -0.447 eV per atom
Total DFT energy (no corrections)   -64.84 eV per cell



No. 6
DFT (PBE) results for InFeGe3 after structural relaxation.

Cell lengths 4.633, 4.633, 4.633 Å; angles 90.00, 90.00, 90.00 degrees
Fractional coordinates of all 5 atoms:
1 In 0.000 0.000 0.000
2 Fe 0.500 0.500 0.500
3 Ge 0.000 0.500 0.500
4 Ge 0.500 0.000 0.500
5 Ge 0.500 0.500 0.000

Computed properties:
ρ   6.49 g/cm3
Energy of formation   0.200 eV per atom
Total DFT energy (no corrections)   -24.05 eV per cell